This record from Alexandria via LeMat-Bulk describes a geometry-optimized AcTc2ClO8 structure. The functional is PBE.

Cell and atoms, written as CIF:
```
data_AcTc2ClO8
_chemical_formula_sum 'Ac1 Tc2 Cl1 O8'
_symmetry_space_group_name_H-M 'P 1'
_symmetry_Int_Tables_number 1
_cell_length_a 7.319
_cell_length_b 7.228
_cell_length_c 7.006
_cell_angle_alpha 51.73
_cell_angle_beta 58.51
_cell_angle_gamma 59.59
loop_
_symmetry_equiv_pos_as_xyz
'x,y,z'
loop_
_atom_site_label
_atom_site_type_symbol
_atom_site_fract_x
_atom_site_fract_y
_atom_site_fract_z
_atom_site_occupancy
Ac1 Ac 0.000 0.000 0.000 1
Tc1 Tc 0.275 0.246 0.203 1
Tc2 Tc 0.725 0.754 0.797 1
Cl1 Cl 0.500 0.500 0.500 1
O1 O 0.843 0.844 0.471 1
O2 O 0.807 0.435 0.951 1
O3 O 0.157 0.156 0.529 1
O4 O 0.193 0.565 0.049 1
O5 O 0.562 0.135 0.131 1
O6 O 0.438 0.865 0.869 1
O7 O 0.172 0.135 0.131 1
O8 O 0.828 0.865 0.869 1
```

Values from the calculation:
The density of states at the Fermi level is 0.671 states/eV per atom. The formation energy from raw total energies comes out at -1.77 eV per atom. For the calculated total energy, the calculation gives -87.60 eV for the cell shown. The value obtained for the calculated density is 4079 kg/m3. As for the space group: C2/m (12).



This record from Alexandria via LeMat-Bulk describes a geometry-optimized AcTcCl2O4 structure. The functional is PBE.

Cell and atoms, written as CIF:
```
data_AcTcCl2O4
_chemical_formula_sum 'Ac2 Tc2 Cl4 O8'
_symmetry_space_group_name_H-M 'P 1'
_symmetry_Int_Tables_number 1
_cell_length_a 7.351
_cell_length_b 7.351
_cell_length_c 9.500
_cell_angle_alpha 125.12
_cell_angle_beta 125.12
_cell_angle_gamma 91.24
loop_
_symmetry_equiv_pos_as_xyz
'x,y,z'
loop_
_atom_site_label
_atom_site_type_symbol
_atom_site_fract_x
_atom_site_fract_y
_atom_site_fract_z
_atom_site_occupancy
Ac1 Ac 0.000 0.500 0.000 1
Ac2 Ac 0.000 0.500 0.500 1
Tc1 Tc 0.500 0.500 0.500 1
Tc2 Tc 0.000 0.000 0.000 1
Cl1 Cl 0.500 0.000 0.000 1
Cl2 Cl 0.500 0.000 0.500 1
Cl3 Cl 0.000 0.000 0.500 1
Cl4 Cl 0.500 0.500 0.000 1
O1 O 0.131 0.786 0.920 1
O2 O 0.714 0.369 0.580 1
O3 O 0.286 0.631 0.420 1
O4 O 0.869 0.214 0.080 1
O5 O 0.946 0.879 0.101 1
O6 O 0.621 0.554 0.399 1
O7 O 0.379 0.446 0.601 1
O8 O 0.054 0.121 0.899 1
```

Values from the calculation:
The density of states at the Fermi level is 0.586 states/eV per atom. The formation energy from raw total energies comes out at -1.37 eV per atom. For the calculated total energy, the calculation gives -97.93 eV for the cell shown. The value obtained for the calculated density is 5233 kg/m3. As for the space group: C2/c (15).



This record from Alexandria via LeMat-Bulk describes a geometry-optimized Ac3TcCl2O6 structure. The functional is PBE.

Cell and atoms, written as CIF:
```
data_Ac3TcCl2O6
_chemical_formula_sum 'Ac3 Tc1 Cl2 O6'
_symmetry_space_group_name_H-M 'P 1'
_symmetry_Int_Tables_number 1
_cell_length_a 5.815
_cell_length_b 6.947
_cell_length_c 7.024
_cell_angle_alpha 119.64
_cell_angle_beta 83.07
_cell_angle_gamma 90.00
loop_
_symmetry_equiv_pos_as_xyz
'x,y,z'
loop_
_atom_site_label
_atom_site_type_symbol
_atom_site_fract_x
_atom_site_fract_y
_atom_site_fract_z
_atom_site_occupancy
Ac1 Ac 0.000 0.500 0.000 1
Ac2 Ac 0.500 0.500 0.500 1
Ac3 Ac 0.500 0.000 0.500 1
Tc1 Tc 0.500 0.000 0.000 1
Cl1 Cl 0.107 0.722 0.443 1
Cl2 Cl 0.893 0.278 0.557 1
O1 O 0.691 0.286 0.115 1
O2 O 0.309 0.714 0.885 1
O3 O 0.664 0.850 0.700 1
O4 O 0.336 0.150 0.300 1
O5 O 0.309 0.171 0.885 1
O6 O 0.691 0.829 0.115 1
```

Values from the calculation:
The density of states at the Fermi level is 0.308 states/eV per atom. The formation energy from raw total energies comes out at -2.23 eV per atom. For the calculated total energy, the calculation gives -82.86 eV for the cell shown. The value obtained for the calculated density is 6431 kg/m3. As for the space group: C2/m (12).



This record from Alexandria via LeMat-Bulk describes a geometry-optimized AcTc2Cl2O7 structure. The functional is PBE.

Cell and atoms, written as CIF:
```
data_AcTc2Cl2O7
_chemical_formula_sum 'Ac1 Tc2 Cl2 O7'
_symmetry_space_group_name_H-M 'P 1'
_symmetry_Int_Tables_number 1
_cell_length_a 3.939
_cell_length_b 3.939
_cell_length_c 15.014
_cell_angle_alpha 73.70
_cell_angle_beta 73.70
_cell_angle_gamma 90.05
loop_
_symmetry_equiv_pos_as_xyz
'x,y,z'
loop_
_atom_site_label
_atom_site_type_symbol
_atom_site_fract_x
_atom_site_fract_y
_atom_site_fract_z
_atom_site_occupancy
Ac1 Ac 0.000 0.000 0.000 1
Tc1 Tc 0.662 0.662 0.841 1
Tc2 Tc 0.338 0.338 0.159 1
Cl1 Cl 0.669 0.669 0.442 1
Cl2 Cl 0.331 0.331 0.558 1
O1 O 0.500 0.500 0.000 1
O2 O 0.181 0.181 0.282 1
O3 O 0.819 0.819 0.718 1
O4 O 0.857 0.360 0.132 1
O5 O 0.360 0.857 0.132 1
O6 O 0.640 0.143 0.868 1
O7 O 0.143 0.640 0.868 1
```

Values from the calculation:
The density of states at the Fermi level is 0.430 states/eV per atom. The formation energy from raw total energies comes out at -1.51 eV per atom. For the calculated total energy, the calculation gives -81.38 eV for the cell shown. The value obtained for the calculated density is 4706 kg/m3. As for the space group: C2/m (12).



This record from Alexandria via LeMat-Bulk describes a geometry-optimized AcTc2ClO6 structure. The functional is PBE.

Cell and atoms, written as CIF:
```
data_AcTc2ClO6
_chemical_formula_sum 'Ac2 Tc4 Cl2 O12'
_symmetry_space_group_name_H-M 'P 1'
_symmetry_Int_Tables_number 1
_cell_length_a 8.265
_cell_length_b 8.265
_cell_length_c 7.159
_cell_angle_alpha 109.12
_cell_angle_beta 109.12
_cell_angle_gamma 116.10
loop_
_symmetry_equiv_pos_as_xyz
'x,y,z'
loop_
_atom_site_label
_atom_site_type_symbol
_atom_site_fract_x
_atom_site_fract_y
_atom_site_fract_z
_atom_site_occupancy
Ac1 Ac 0.682 0.318 0.250 1
Ac2 Ac 0.318 0.682 0.750 1
Tc1 Tc 0.409 0.196 0.666 1
Tc2 Tc 0.804 0.591 0.834 1
Tc3 Tc 0.591 0.804 0.334 1
Tc4 Tc 0.196 0.409 0.166 1
Cl1 Cl 0.144 0.856 0.250 1
Cl2 Cl 0.856 0.144 0.750 1
O1 O 0.026 0.389 0.293 1
O2 O 0.611 0.974 0.207 1
O3 O 0.974 0.611 0.707 1
O4 O 0.389 0.026 0.793 1
O5 O 0.299 0.267 0.160 1
O6 O 0.733 0.701 0.340 1
O7 O 0.701 0.733 0.840 1
O8 O 0.267 0.299 0.660 1
O9 O 0.418 0.706 0.456 1
O10 O 0.294 0.582 0.044 1
O11 O 0.582 0.294 0.544 1
O12 O 0.706 0.418 0.956 1
```

Values from the calculation:
The density of states at the Fermi level is 0.404 states/eV per atom. The formation energy from raw total energies comes out at -1.75 eV per atom. For the calculated total energy, the calculation gives -147.78 eV for the cell shown. The value obtained for the calculated density is 5338 kg/m3. As for the space group: C2/c (15).



This record from Alexandria via LeMat-Bulk describes a geometry-optimized Ac2Te2ClO6 structure. The functional is PBE.

Cell and atoms, written as CIF:
```
data_Ac2Te2ClO6
_chemical_formula_sum 'Ac2 Te2 Cl1 O6'
_symmetry_space_group_name_H-M 'P 1'
_symmetry_Int_Tables_number 1
_cell_length_a 6.052
_cell_length_b 6.932
_cell_length_c 7.082
_cell_angle_alpha 118.36
_cell_angle_beta 91.97
_cell_angle_gamma 67.67
loop_
_symmetry_equiv_pos_as_xyz
'x,y,z'
loop_
_atom_site_label
_atom_site_type_symbol
_atom_site_fract_x
_atom_site_fract_y
_atom_site_fract_z
_atom_site_occupancy
Ac1 Ac 0.839 0.278 0.808 1
Ac2 Ac 0.161 0.722 0.192 1
Te1 Te 0.234 0.530 0.613 1
Te2 Te 0.766 0.470 0.387 1
Cl1 Cl 0.500 0.000 0.500 1
O1 O 0.428 0.593 0.847 1
O2 O 0.998 0.428 0.164 1
O3 O 0.089 0.839 0.626 1
O4 O 0.002 0.572 0.836 1
O5 O 0.911 0.161 0.374 1
O6 O 0.572 0.407 0.153 1
```

Values from the calculation:
The density of states at the Fermi level is 0.226 states/eV per atom. The formation energy from raw total energies comes out at -2.07 eV per atom. For the calculated total energy, the calculation gives -68.92 eV for the cell shown. The value obtained for the calculated density is 5867 kg/m3. As for the space group: P-1 (2).



This record from Alexandria via LeMat-Bulk describes a geometry-optimized Ac3TeCl2O6 structure. The functional is PBE.

Cell and atoms, written as CIF:
```
data_Ac3TeCl2O6
_chemical_formula_sum 'Ac3 Te1 Cl2 O6'
_symmetry_space_group_name_H-M 'P 1'
_symmetry_Int_Tables_number 1
_cell_length_a 5.781
_cell_length_b 7.048
_cell_length_c 7.246
_cell_angle_alpha 119.10
_cell_angle_beta 82.74
_cell_angle_gamma 90.00
loop_
_symmetry_equiv_pos_as_xyz
'x,y,z'
loop_
_atom_site_label
_atom_site_type_symbol
_atom_site_fract_x
_atom_site_fract_y
_atom_site_fract_z
_atom_site_occupancy
Ac1 Ac 0.000 0.500 0.000 1
Ac2 Ac 0.500 0.500 0.500 1
Ac3 Ac 0.500 0.000 0.500 1
Te1 Te 0.500 0.000 0.000 1
Cl1 Cl 0.114 0.714 0.429 1
Cl2 Cl 0.886 0.286 0.571 1
O1 O 0.695 0.291 0.117 1
O2 O 0.305 0.709 0.883 1
O3 O 0.665 0.847 0.694 1
O4 O 0.335 0.153 0.306 1
O5 O 0.305 0.174 0.883 1
O6 O 0.695 0.826 0.117 1
```

Values from the calculation:
The density of states at the Fermi level is 0.168 states/eV per atom. The formation energy from raw total energies comes out at -2.16 eV per atom. For the calculated total energy, the calculation gives -74.84 eV for the cell shown. The value obtained for the calculated density is 6346 kg/m3. As for the space group: C2/m (12).



This record from Alexandria via LeMat-Bulk describes a geometry-optimized Ac3TiCl2O6 structure. The functional is PBE.

Cell and atoms, written as CIF:
```
data_Ac3TiCl2O6
_chemical_formula_sum 'Ac3 Ti1 Cl2 O6'
_symmetry_space_group_name_H-M 'P 1'
_symmetry_Int_Tables_number 1
_cell_length_a 5.819
_cell_length_b 7.116
_cell_length_c 7.025
_cell_angle_alpha 120.43
_cell_angle_beta 83.80
_cell_angle_gamma 90.00
loop_
_symmetry_equiv_pos_as_xyz
'x,y,z'
loop_
_atom_site_label
_atom_site_type_symbol
_atom_site_fract_x
_atom_site_fract_y
_atom_site_fract_z
_atom_site_occupancy
Ac1 Ac 0.000 0.500 0.000 1
Ac2 Ac 0.500 0.500 0.500 1
Ac3 Ac 0.500 0.000 0.500 1
Ti1 Ti 0.500 0.000 0.000 1
Cl1 Cl 0.106 0.726 0.453 1
Cl2 Cl 0.894 0.274 0.547 1
O1 O 0.692 0.287 0.102 1
O2 O 0.308 0.713 0.898 1
O3 O 0.645 0.849 0.698 1
O4 O 0.355 0.151 0.302 1
O5 O 0.308 0.185 0.898 1
O6 O 0.692 0.815 0.102 1
```

Values from the calculation:
The density of states at the Fermi level is 0.436 states/eV per atom. The formation energy from raw total energies comes out at -2.54 eV per atom. For the calculated total energy, the calculation gives -84.14 eV for the cell shown. The value obtained for the calculated density is 5977 kg/m3. As for the space group: C2/m (12).



This record from Alexandria via LeMat-Bulk describes a geometry-optimized Ac2TiCl2O4 structure. The functional is PBE.

Cell and atoms, written as CIF:
```
data_Ac2TiCl2O4
_chemical_formula_sum 'Ac2 Ti1 Cl2 O4'
_symmetry_space_group_name_H-M 'P 1'
_symmetry_Int_Tables_number 1
_cell_length_a 5.826
_cell_length_b 5.826
_cell_length_c 5.826
_cell_angle_alpha 96.41
_cell_angle_beta 116.37
_cell_angle_gamma 116.37
loop_
_symmetry_equiv_pos_as_xyz
'x,y,z'
loop_
_atom_site_label
_atom_site_type_symbol
_atom_site_fract_x
_atom_site_fract_y
_atom_site_fract_z
_atom_site_occupancy
Ac1 Ac 0.500 0.750 0.250 1
Ac2 Ac 0.500 0.250 0.750 1
Ti1 Ti 0.000 0.000 0.000 1
Cl1 Cl 0.000 0.694 0.694 1
Cl2 Cl 0.000 0.306 0.306 1
O1 O 0.000 0.780 0.220 1
O2 O 0.559 0.780 0.780 1
O3 O 0.000 0.220 0.780 1
O4 O 0.441 0.220 0.220 1
```

Values from the calculation:
The density of states at the Fermi level is 0.000 states/eV per atom. The formation energy from raw total energies comes out at -2.64 eV per atom. For the calculated total energy, the calculation gives -63.40 eV for the cell shown. The value obtained for the calculated density is 7218 kg/m3. As for the space group: I4/mmm (139).



This record from Alexandria via LeMat-Bulk describes a geometry-optimized AcTlClO2 structure. The functional is PBE.

Cell and atoms, written as CIF:
```
data_AcTlClO2
_chemical_formula_sum 'Ac2 Tl2 Cl2 O4'
_symmetry_space_group_name_H-M 'P 1'
_symmetry_Int_Tables_number 1
_cell_length_a 4.227
_cell_length_b 5.470
_cell_length_c 11.745
_cell_angle_alpha 114.26
_cell_angle_beta 90.00
_cell_angle_gamma 90.00
loop_
_symmetry_equiv_pos_as_xyz
'x,y,z'
loop_
_atom_site_label
_atom_site_type_symbol
_atom_site_fract_x
_atom_site_fract_y
_atom_site_fract_z
_atom_site_occupancy
Ac1 Ac 0.750 0.915 0.183 1
Ac2 Ac 0.250 0.085 0.817 1
Tl1 Tl 0.750 0.765 0.532 1
Tl2 Tl 0.250 0.235 0.468 1
Cl1 Cl 0.750 0.307 0.056 1
Cl2 Cl 0.250 0.693 0.944 1
O1 O 0.250 0.100 0.254 1
O2 O 0.250 0.021 0.596 1
O3 O 0.750 0.979 0.404 1
O4 O 0.750 0.900 0.746 1
```

Values from the calculation:
The density of states at the Fermi level is 0.177 states/eV per atom. The formation energy from raw total energies comes out at -1.92 eV per atom. For the calculated total energy, the calculation gives -55.71 eV for the cell shown. The value obtained for the calculated density is 6691 kg/m3. As for the space group: P2_1/m (11).